(1)
Entry from Alexandria: Be2InCl after structural relaxation (GGA-PBE).

abc: 3.245 3.245 9.848
angles: 90.00 90.00 126.30
Atoms (fractional coordinates):
In (0.500, 0.500, 0.821)
Be (0.500, 0.500, 0.241)
Cl (0.000, 0.000, 0.381)
Be (0.000, 0.000, 0.057)

Output
**Raw formation energy**: 0.19 eV per atom
**ρ**: 3.344 g/cm³

=====

(2)
Entry from Alexandria: Cd3BBr after structural relaxation (GGA-PBE).

abc: 4.749 4.749 4.749
angles: 90.00 90.00 90.00
Atoms (fractional coordinates):
Cd (0.000, 0.500, 0.000)
Cd (0.000, 0.000, 0.500)
B (0.000, 0.000, 0.000)
Br (0.500, 0.500, 0.500)
Cd (0.500, 0.000, 0.000)

Output
**Raw formation energy**: 0.08 eV per atom
**ρ**: 6.637 g/cm³

=====

(3)
Entry from Alexandria: KThCu2S4 after structural relaxation (GGA-PBE).

abc: 6.638 6.091 6.091
angles: 66.04 56.98 56.98
Atoms (fractional coordinates):
Cu (0.250, 0.250, 0.250)
S (0.508, 0.492, 0.953)
S (0.492, 0.047, 0.508)
Cu (0.750, 0.750, 0.750)
K (0.000, 0.000, 0.000)
S (0.953, 0.508, 0.047)
S (0.047, 0.953, 0.492)
Th (0.500, 0.500, 0.500)

Output
**Raw formation energy**: -0.90 eV per atom
**ρ**: 5.112 g/cm³

=====

(4)
Entry from Alexandria: CeHoPa2P4 after structural relaxation (GGA-PBE).

abc: 3.997 6.921 6.926
angles: 109.48 90.00 90.00
Atoms (fractional coordinates):
P (0.500, 0.255, 0.256)
P (0.000, 0.251, 0.745)
Pa (0.500, 0.000, 0.500)
Ho (0.500, 0.500, 0.000)
P (0.500, 0.745, 0.744)
Ce (0.000, 0.000, 0.000)
P (0.000, 0.749, 0.255)
Pa (0.000, 0.500, 0.500)

Output
**DFT formation energy**: -1.431 eV/atom
**ρ**: 8.192 g/cm³

=====

(5)
Entry from Alexandria: Ce5Bi2H2 after structural relaxation (GGA-PBE).

abc: 4.389 6.164 8.615
angles: 84.72 90.00 110.86
Atoms (fractional coordinates):
Bi (0.423, 0.846, 0.740)
Ce (0.292, 0.585, 0.147)
Ce (0.708, 0.415, 0.853)
H (0.850, 0.701, 0.194)
Bi (0.577, 0.154, 0.260)
Ce (0.886, 0.772, 0.456)
Ce (0.000, 0.000, 0.000)
Ce (0.114, 0.228, 0.544)
H (0.150, 0.299, 0.806)

Output
**Total DFT energy (no corrections)**: -5.3524 eV per atom
**ρ**: 8.584 g/cm³

=====

(6)
Entry from Alexandria: PmThMg after structural relaxation (GGA-PBE).

abc: 3.541 3.541 8.559
angles: 90.00 90.00 120.00
Atoms (fractional coordinates):
Pm (0.333, 0.667, 0.662)
Th (0.000, 0.000, 0.004)
Mg (0.667, 0.333, 0.333)

Output
**DFT formation energy**: 0.086 eV/atom
**ρ**: 7.172 g/cm³

=====

(7)
Entry from Alexandria: Ho4Ag3Au after structural relaxation (GGA-PBE).

abc: 3.599 3.599 14.534
angles: 90.00 90.00 90.00
Atoms (fractional coordinates):
Ho (0.000, 0.000, 0.121)
Ho (0.000, 0.000, 0.626)
Ag (0.500, 0.500, 0.250)
Ho (0.000, 0.000, 0.879)
Ag (0.500, 0.500, 0.750)
Ag (0.500, 0.500, 0.500)
Au (0.500, 0.500, 0.000)
Ho (0.000, 0.000, 0.374)

Output
**DFT formation energy**: -0.466 eV/atom
**ρ**: 10.413 g/cm³

=====

(8)
Entry from Alexandria: BeCrTc after structural relaxation (GGA-PBE).

abc: 4.467 4.467 4.467
angles: 141.05 141.05 56.26
Atoms (fractional coordinates):
Be (0.998, 0.998, 0.000)
Tc (0.667, 0.667, 0.000)
Cr (0.335, 0.335, 0.000)

Output
**DFT formation energy**: -0.079 eV/atom
**ρ**: 7.557 g/cm³

=====

(9)
Entry from Alexandria: K12Au6S after structural relaxation (GGA-PBE).

abc: 9.615 9.615 9.615
angles: 100.18 100.18 100.18
Atoms (fractional coordinates):
S (0.000, 0.000, 0.000)
K (0.427, 0.817, 0.574)
K (0.817, 0.574, 0.427)
Au (0.127, 0.622, 0.304)
K (0.574, 0.427, 0.817)
K (0.310, 0.062, 0.960)
K (0.040, 0.690, 0.938)
K (0.960, 0.310, 0.062)
Au (0.873, 0.378, 0.696)
Au (0.378, 0.696, 0.873)
K (0.062, 0.960, 0.310)
K (0.690, 0.938, 0.040)
Au (0.304, 0.127, 0.622)
K (0.573, 0.183, 0.426)
Au (0.696, 0.873, 0.378)
K (0.938, 0.040, 0.690)
Au (0.622, 0.304, 0.127)
K (0.183, 0.426, 0.573)
K (0.426, 0.573, 0.183)

Output
**Raw formation energy**: -0.33 eV per atom
**ρ**: 3.323 g/cm³

=====

(10)
Entry from Alexandria: Tb2GaHRh6 after structural relaxation (GGA-PBE).

abc: 6.099 6.099 6.122
angles: 59.80 59.80 89.97
Atoms (fractional coordinates):
Tb (0.252, 0.748, 0.500)
Rh (0.727, 0.727, 0.997)
Rh (0.273, 0.273, 0.003)
Rh (0.727, 0.727, 0.549)
Ga (0.000, 0.000, 0.000)
H (0.500, 0.500, 0.000)
Rh (0.273, 0.273, 0.451)
Rh (0.726, 0.275, 0.000)
Tb (0.748, 0.252, 0.500)
Rh (0.274, 0.725, 0.000)

Output
**Total DFT energy (no corrections)**: -6.4883 eV per atom
**ρ**: 10.435 g/cm³

=====

(11)
Entry from Alexandria: NiIrS2Cl after structural relaxation (GGA-PBE).

abc: 4.613 4.613 4.863
angles: 90.00 90.00 90.00
Atoms (fractional coordinates):
Ni (0.500, 0.500, 0.500)
S (0.500, 0.000, 0.000)
Ir (0.000, 0.000, 0.000)
S (0.000, 0.500, 0.000)
Cl (0.000, 0.000, 0.500)

Output
**Raw formation energy**: 0.78 eV per atom
**ρ**: 5.625 g/cm³

=====

(12)
Entry from Alexandria: RbZrTeI2 after structural relaxation (GGA-PBE).

abc: 5.902 5.902 5.662
angles: 90.00 90.00 90.00
Atoms (fractional coordinates):
I (0.500, 0.000, 0.000)
Rb (0.500, 0.500, 0.500)
I (0.000, 0.500, 0.000)
Te (0.000, 0.000, 0.500)
Zr (0.000, 0.000, 0.000)

Output
**Raw formation energy**: -0.89 eV per atom
**ρ**: 4.699 g/cm³

=====

(13)
Entry from Alexandria: BaSc2Be after structural relaxation (GGA-PBE).

abc: 4.613 4.613 4.894
angles: 90.00 90.00 90.00
Atoms (fractional coordinates):
Sc (0.500, 0.500, 0.000)
Sc (0.000, 0.000, 0.000)
Ba (0.500, 0.000, 0.500)
Be (0.000, 0.500, 0.500)

Output
**DFT formation energy**: 0.616 eV/atom
**ρ**: 3.768 g/cm³

=====

(14)
Entry from Alexandria: SrCrW after structural relaxation (GGA-PBE).

abc: 6.489 6.489 6.489
angles: 150.57 150.57 42.10
Atoms (fractional coordinates):
Sr (0.667, 0.667, 0.000)
Cr (0.953, 0.953, 0.000)
W (0.380, 0.380, 0.000)

Output
**DFT formation energy**: 0.810 eV/atom
**ρ**: 8.162 g/cm³

=====

(15)
Entry from Alexandria: LiIrRh after structural relaxation (GGA-PBE).

abc: 4.525 4.525 4.525
angles: 145.17 129.56 62.76
Atoms (fractional coordinates):
Li (0.334, 0.334, 0.000)
Rh (0.665, 0.665, 0.000)
Ir (0.001, 0.001, 0.000)

Output
**DFT formation energy**: -0.068 eV/atom
**ρ**: 12.427 g/cm³

=====

(16)
Entry from Alexandria: ZnCo4Rh after structural relaxation (GGA-PBE).

abc: 4.713 4.713 4.713
angles: 60.00 60.00 60.00
Atoms (fractional coordinates):
Co (0.375, 0.876, 0.375)
Co (0.375, 0.375, 0.375)
Co (0.375, 0.375, 0.876)
Zn (0.000, 0.000, 0.000)
Co (0.876, 0.375, 0.375)
Rh (0.750, 0.750, 0.750)

Output
**DFT formation energy**: 0.075 eV/atom
**ρ**: 9.063 g/cm³

=====

(17)
Entry from Alexandria: Ti2Al2Fe after structural relaxation (GGA-PBE).

abc: 6.047 6.047 4.431
angles: 90.00 90.00 90.00
Atoms (fractional coordinates):
Fe (0.000, 0.000, 0.000)
Fe (0.500, 0.500, 0.000)
Al (0.159, 0.659, 0.500)
Ti (0.344, 0.844, 0.000)
Ti (0.156, 0.344, 0.000)
Ti (0.656, 0.156, 0.000)
Al (0.341, 0.159, 0.500)
Al (0.659, 0.841, 0.500)
Al (0.841, 0.341, 0.500)
Ti (0.844, 0.656, 0.000)

Output
**DFT formation energy**: 0.068 eV/atom
**ρ**: 4.212 g/cm³

=====

(18)
Entry from Alexandria: ZrMnPt6 after structural relaxation (GGA-PBE).

abc: 4.005 4.005 7.961
angles: 90.00 90.00 90.00
Atoms (fractional coordinates):
Pt (0.000, 0.500, 0.255)
Mn (0.000, 0.000, 0.500)
Pt (0.500, 0.500, 0.000)
Pt (0.000, 0.500, 0.745)
Pt (0.500, 0.000, 0.745)
Zr (0.000, 0.000, 0.000)
Pt (0.500, 0.000, 0.255)
Pt (0.500, 0.500, 0.500)

Output
**DFT formation energy**: -0.709 eV/atom
**ρ**: 17.123 g/cm³

=====

(19)
Entry from Alexandria: Tl3Tc5 after structural relaxation (GGA-PBE).

abc: 11.907 11.444 7.178
angles: 61.92 118.87 156.23
Atoms (fractional coordinates):
Tl (0.564, 0.797, 0.421)
Tc (0.927, 0.666, 0.372)
Tl (0.744, 0.757, 0.166)
Tc (0.073, 0.334, 0.628)
Tl (0.176, 0.439, 0.037)
Tc (0.263, 0.738, 0.557)
Tc (0.736, 0.263, 0.443)
Tc (0.653, 0.924, 0.800)
Tl (0.823, 0.561, 0.963)
Tc (0.638, 0.093, 0.885)
Tc (0.361, 0.907, 0.115)
Tl (0.256, 0.243, 0.834)
Tl (0.435, 0.203, 0.579)
Tc (0.956, 0.387, 0.233)
Tc (0.346, 0.076, 0.200)
Tc (0.044, 0.613, 0.767)

Output
**DFT formation energy**: 0.444 eV/atom
**ρ**: 10.647 g/cm³

=====

(20)
Entry from Alexandria: SrCuB2 after structural relaxation (GGA-PBE).

abc: 4.229 4.229 7.600
angles: 73.85 73.85 90.00
Atoms (fractional coordinates):
B (0.875, 0.625, 0.750)
B (0.375, 0.125, 0.250)
Sr (0.000, 0.000, 0.000)
Sr (0.750, 0.250, 0.500)
Cu (0.250, 0.750, 0.500)
B (0.375, 0.625, 0.750)
B (0.375, 0.625, 0.250)
Cu (0.500, 0.500, 0.000)

Output
**DFT formation energy**: 0.422 eV/atom
**ρ**: 4.592 g/cm³

=====

(21)
Entry from Alexandria: NdGa8Tc4 after structural relaxation (GGA-PBE).

abc: 5.245 6.934 6.934
angles: 81.78 67.78 67.78
Atoms (fractional coordinates):
Ga (0.286, 0.214, 0.214)
Tc (0.500, 0.500, 0.000)
Tc (0.000, 0.000, 0.500)
Tc (0.000, 0.500, 0.000)
Ga (0.347, 0.653, 0.653)
Nd (0.000, 0.000, 0.000)
Tc (0.500, 0.000, 0.500)
Ga (0.000, 0.347, 0.653)
Ga (0.500, 0.214, 0.786)
Ga (0.500, 0.786, 0.214)
Ga (0.714, 0.786, 0.786)
Ga (0.000, 0.653, 0.347)
Ga (0.653, 0.347, 0.347)

Output
**DFT formation energy**: -0.281 eV/atom
**ρ**: 8.407 g/cm³

=====

(22)
Entry from Alexandria: ReSbSe after structural relaxation (GGA-PBE).

abc: 4.477 4.477 4.477
angles: 60.00 60.00 60.00
Atoms (fractional coordinates):
Se (0.500, 0.500, 0.500)
Sb (0.000, 0.000, 0.000)
Re (0.750, 0.750, 0.750)

Output
**Raw formation energy**: 0.42 eV per atom
**ρ**: 10.128 g/cm³

=====

(23)
Entry from Alexandria: Pr3InNi3 after structural relaxation (GGA-PBE).

abc: 4.238 5.649 14.080
angles: 90.00 90.00 112.03
Atoms (fractional coordinates):
Pr (0.206, 0.413, 0.604)
Pr (0.488, 0.976, 0.750)
Pr (0.794, 0.587, 0.104)
Ni (0.782, 0.564, 0.750)
Ni (0.909, 0.818, 0.603)
Pr (0.794, 0.587, 0.396)
Ni (0.218, 0.436, 0.250)
Ni (0.091, 0.182, 0.397)
Pr (0.512, 0.024, 0.250)
Ni (0.909, 0.818, 0.897)
Pr (0.206, 0.413, 0.896)
In (0.500, 0.000, 0.000)
Ni (0.091, 0.182, 0.103)
In (0.500, 0.000, 0.500)

Output
**DFT formation energy**: -0.354 eV/atom
**ρ**: 7.585 g/cm³

=====

(24)
Entry from Alexandria: BaLaV after structural relaxation (GGA-PBE).

abc: 3.698 6.268 4.982
angles: 90.00 89.97 90.00
Atoms (fractional coordinates):
Ba (0.993, 0.000, 0.202)
La (0.990, 0.500, 0.701)
V (0.490, 0.500, 0.201)

Output
**DFT formation energy**: 0.716 eV/atom
**ρ**: 4.705 g/cm³

=====

(25)
Entry from Alexandria: ThTeCl after structural relaxation (GGA-PBE).

abc: 3.911 4.929 4.929
angles: 120.00 90.00 90.00
Atoms (fractional coordinates):
Te (0.667, 0.667, 0.333)
Th (0.166, 0.000, 0.000)
Cl (0.167, 0.333, 0.667)

Output
**Raw formation energy**: -1.35 eV per atom
**ρ**: 7.973 g/cm³

=====

(26)
Entry from Alexandria: LiAs2SeBr after structural relaxation (GGA-PBE).

abc: 4.903 4.903 4.453
angles: 90.00 90.00 90.00
Atoms (fractional coordinates):
Li (0.000, 0.000, 0.000)
Se (0.000, 0.000, 0.500)
Br (0.500, 0.500, 0.500)
As (0.000, 0.500, 0.000)
As (0.500, 0.000, 0.000)

Output
**Raw formation energy**: 0.50 eV per atom
**ρ**: 4.896 g/cm³

=====

no.,volume (Å³ per cell)
1,84
2,107
3,171
4,181
5,217
6,93
7,188
8,35
9,841
10,160
11,103
12,197
13,104
14,66
15,40
16,74
17,162
18,128
19,344
20,125
21,216
22,63
23,312
24,115
25,82
26,107